1.
An optimized crystal structure of K2AcPtO4. Source: Alexandria, functional PBE.

Computed properties:
Its crystal system is tetragonal. The value obtained for the calculated total energy is -5.701 eV/atom. The total magnetization comes out at 1.08 μB per formula unit.

a b c (Å): 5.7112 5.7112 5.7112
angles (deg): 112.77 112.77 103.07
Last column: nearest neighbours and their distance in Å.
Atoms (fractional coordinates):
K 0.0000 0.0000 0.0000  4 O 2.54
K 0.7500 0.2500 0.5000  4 O 2.71
Ac 0.2500 0.7500 0.5000  4 O 2.49
Pt 0.5000 0.5000 0.0000  4 O 2.00
O 0.2623 0.7013 0.9187  1 Pt 2.00
O 0.2987 0.2174 0.5609  1 Pt 2.00
O 0.6565 0.7377 0.4391  1 Pt 2.00
O 0.7826 0.3435 0.0813  1 Pt 2.00


2.
An optimized crystal structure of RbCaMgBi2. Source: Alexandria, functional PBE.

Computed properties:
Its crystal system is tetragonal. The value obtained for the calculated total energy is -2.203 eV/atom. The total magnetization comes out at 0.00 μB per formula unit. The value obtained for the formation enthalpy at 0 K is 262 meV/atom.

a b c (Å): 5.9240 5.9240 6.3204
angles (deg): 90.00 90.00 90.00
Last column: nearest neighbours and their distance in Å.
Atoms (fractional coordinates):
Rb 0.0000 0.0000 0.0000  2 Ca 3.16
Ca 0.0000 0.0000 0.5000  4 Bi 2.96, 2 Rb 3.16
Mg 0.5000 0.5000 0.0000  4 Rb 4.19, 8 Bi 4.33
Bi 0.0000 0.5000 0.5000  2 Ca 2.96
Bi 0.5000 0.0000 0.5000  2 Ca 2.96


3.
An optimized crystal structure of SmLuTcHg. Source: Alexandria, functional PBE.

Computed properties:
Its crystal system is cubic. The value obtained for the calculated total energy is -5.102 eV/atom. The total magnetization comes out at 0.00 μB per formula unit. The value obtained for the formation enthalpy at 0 K is -125 meV/atom.

a b c (Å): 5.0404 5.0404 5.0404
angles (deg): 60.00 60.00 60.00
Last column: nearest neighbours and their distance in Å.
Atoms (fractional coordinates):
Sm 0.0000 0.0000 0.0000  4 Hg 3.09, 4 Tc 3.09
Lu 0.5000 0.5000 0.5000  4 Tc 3.09, 4 Hg 3.09
Tc 0.7500 0.7500 0.7500  4 Lu 3.09, 4 Sm 3.09
Hg 0.2500 0.2500 0.2500  4 Lu 3.09, 4 Sm 3.09


4.
An optimized crystal structure of CeTmSO2. Source: Alexandria, functional PBE.

Computed properties:
Its crystal system is monoclinic. The value obtained for the calculated total energy is -7.948 eV/atom. The total magnetization comes out at 1.00 μB per formula unit.

a b c (Å): 6.3646 3.9734 7.6024
angles (deg): 90.00 108.99 90.00
Last column: nearest neighbours and their distance in Å.
Atoms (fractional coordinates):
Ce 0.2093 0.2500 0.4354  4 O 2.29-2.38
Ce 0.7907 0.7500 0.5646  4 O 2.29-2.38
Tm 0.1802 0.2500 0.9223  4 O 2.20-2.23
Tm 0.8198 0.7500 0.0777  4 O 2.20-2.23
S 0.4527 0.7500 0.7564  1 Tm 2.78, 1 Ce 2.97
S 0.5473 0.2500 0.2436  1 Tm 2.78, 1 Ce 2.97
O 0.0125 0.7500 0.8850  3 Tm 2.20-2.23, 1 Ce 2.38
O 0.0192 0.7500 0.3751  1 Tm 2.20, 3 Ce 2.29-2.36
O 0.9808 0.2500 0.6249  1 Tm 2.20, 3 Ce 2.29-2.36
O 0.9875 0.2500 0.1150  3 Tm 2.20-2.23, 1 Ce 2.38


5.
An optimized crystal structure of Na2Tl2Hg4Pb. Source: Alexandria, functional PBE.

Computed properties:
Its crystal system is tetragonal. The value obtained for the calculated total energy is -1.394 eV/atom. The total magnetization comes out at 0.00 μB per formula unit. The value obtained for the formation enthalpy at 0 K is -29 meV/atom.

a b c (Å): 7.3597 7.3597 7.3597
angles (deg): 121.37 121.37 87.65
Last column: nearest neighbours and their distance in Å.
Atoms (fractional coordinates):
Na 0.2139 0.2139 0.0000  1 Pb 3.04, 4 Hg 3.13
Na 0.7861 0.7861 0.0000  1 Pb 3.04, 4 Hg 3.13
Tl 0.2500 0.7500 0.5000  4 Na 3.62, 8 Hg 3.70
Tl 0.7500 0.2500 0.5000  4 Na 3.62, 8 Hg 3.70
Hg 0.2119 0.2119 0.4238  1 Pb 2.94, 2 Hg 3.05, 2 Na 3.13
Hg 0.2119 0.7881 0.0000  1 Pb 2.94, 2 Hg 3.05, 2 Na 3.13
Hg 0.7881 0.2119 0.0000  1 Pb 2.94, 2 Hg 3.05, 2 Na 3.13
Hg 0.7881 0.7881 0.5762  1 Pb 2.94, 2 Hg 3.05, 2 Na 3.13
Pb 0.5000 0.5000 0.0000  4 Hg 2.94, 2 Na 3.04


6.
An optimized crystal structure of LiGa2Pd2. Source: Alexandria, functional PBE.

Computed properties:
Its excess energy over the best structure of this formula in the dataset is 139 meV per atom. Its crystal system is tetragonal. The value obtained for the calculated total energy is -4.147 eV/atom. The total magnetization comes out at 0.00 μB per formula unit. The value obtained for the formation enthalpy at 0 K is -476 meV/atom.

a b c (Å): 6.1564 6.1564 6.1564
angles (deg): 141.56 141.56 55.49
Last column: nearest neighbours and their distance in Å.
Atoms (fractional coordinates):
Li 0.0000 0.0000 0.0000  8 Ga 3.12, 8 Pd 3.40
Ga 0.3858 0.3858 0.0000  1 Ga 2.49, 4 Pd 2.51
Ga 0.6142 0.6142 0.0000  1 Ga 2.49, 4 Pd 2.51
Pd 0.2500 0.7500 0.5000  4 Ga 2.51
Pd 0.7500 0.2500 0.5000  4 Ga 2.51


7.
An optimized crystal structure of V4IrPt. Source: Alexandria, functional PBE.

Computed properties:
Its crystal system is monoclinic. The value obtained for the calculated total energy is -8.437 eV/atom. The total magnetization comes out at 0.00 μB per formula unit. The value obtained for the formation enthalpy at 0 K is 126 meV/atom.

a b c (Å): 4.1798 4.1798 7.0610
angles (deg): 112.23 112.23 64.51
Last column: nearest neighbours and their distance in Å.
Atoms (fractional coordinates):
V 0.1051 0.1051 0.3858  1 Ir 2.48, 3 Pt 2.54-2.59, 1 V 2.64
V 0.3867 0.3867 0.1033  3 Ir 2.49-2.58, 1 Pt 2.55, 1 V 2.61
V 0.6133 0.6133 0.8967  3 Ir 2.49-2.58, 1 Pt 2.55, 1 V 2.61
V 0.8949 0.8949 0.6142  1 Ir 2.48, 3 Pt 2.54-2.59, 1 V 2.64
Ir 0.0000 0.0000 0.0000  8 V 2.48-2.58
Pt 0.5000 0.5000 0.5000  8 V 2.54-2.59


8.
An optimized crystal structure of YTe2Mo. Source: Alexandria, functional PBE.

Computed properties:
Its excess energy over the best structure of this formula in the dataset is 317 meV per atom. Its crystal system is trigonal. The value obtained for the calculated total energy is -5.961 eV/atom. The total magnetization comes out at 0.00 μB per formula unit.

a b c (Å): 10.0905 10.0905 10.0905
angles (deg): 20.10 20.10 20.10
Last column: nearest neighbours and their distance in Å.
Atoms (fractional coordinates):
Y 0.0000 0.0000 0.0000  2 Te 3.08
Te 0.1039 0.1039 0.1039  3 Mo 2.76, 1 Y 3.08
Te 0.8961 0.8961 0.8961  3 Mo 2.76, 1 Y 3.08
Mo 0.5000 0.5000 0.5000  6 Te 2.76


9.
An optimized crystal structure of KGa8Ag2. Source: Alexandria, functional PBE.

Computed properties:
Its crystal system is tetragonal. The value obtained for the calculated total energy is -2.712 eV/atom. The total magnetization comes out at 0.00 μB per formula unit. The value obtained for the formation enthalpy at 0 K is 108 meV/atom.

a b c (Å): 5.3063 5.3063 10.5087
angles (deg): 90.00 90.00 90.00
Last column: nearest neighbours and their distance in Å.
Atoms (fractional coordinates):
K 0.0000 0.0000 0.0000  8 Ga 3.62
Ga 0.2510 0.2510 0.2947  4 Ga 2.64-2.66, 2 Ag 2.86
Ga 0.2510 0.2510 0.7053  4 Ga 2.64-2.66, 2 Ag 2.86
Ga 0.2510 0.7490 0.2947  4 Ga 2.64-2.66, 2 Ag 2.86
Ga 0.2510 0.7490 0.7053  4 Ga 2.64-2.66, 2 Ag 2.86
Ga 0.7490 0.2510 0.2947  4 Ga 2.64-2.66, 2 Ag 2.86
Ga 0.7490 0.2510 0.7053  4 Ga 2.64-2.66, 2 Ag 2.86
Ga 0.7490 0.7490 0.2947  4 Ga 2.64-2.66, 2 Ag 2.86
Ga 0.7490 0.7490 0.7053  4 Ga 2.64-2.66, 2 Ag 2.86
Ag 0.0000 0.5000 0.5000  8 Ga 2.86
Ag 0.5000 0.0000 0.5000  8 Ga 2.86


10.
An optimized crystal structure of MgNiW. Source: Alexandria, functional PBE.

Computed properties:
Its excess energy over the best structure of this formula in the dataset is 46 meV per atom. Its crystal system is tetragonal. The value obtained for the calculated total energy is -6.644 eV/atom. The total magnetization comes out at 0.00 μB per formula unit. The value obtained for the formation enthalpy at 0 K is 133 meV/atom.

a b c (Å): 6.0945 6.0945 6.0945
angles (deg): 153.60 153.60 37.69
Last column: nearest neighbours and their distance in Å.
Atoms (fractional coordinates):
Mg 0.0000 0.0000 0.0000  4 Ni 2.70, 4 Mg 2.78, 4 W 2.98
Ni 0.6605 0.6605 0.0000  4 W 2.58, 4 Mg 2.70, 4 Ni 2.78
W 0.3056 0.3056 0.0000  4 Ni 2.58, 4 W 2.78


11.
An optimized crystal structure of HS3Br. Source: Alexandria, functional PBE.

Computed properties:
Its excess energy over the best structure of this formula in the dataset is 0 meV per atom. Its crystal system is cubic. The value obtained for the calculated total energy is -2.252 eV/atom. The total magnetization comes out at 0.00 μB per formula unit.

a b c (Å): 4.2258 4.2258 4.2258
angles (deg): 90.00 90.00 90.00
Last column: nearest neighbours and their distance in Å.
Atoms (fractional coordinates):
H 0.0000 0.0000 0.0000  6 S 2.11
S 0.0000 0.0000 0.5000  2 H 2.11
S 0.0000 0.5000 0.0000  2 H 2.11
S 0.5000 0.0000 0.0000  2 H 2.11
Br 0.5000 0.5000 0.5000  12 S 2.99


12.
An optimized crystal structure of Sn3Bi8. Source: Alexandria, functional PBE.

Computed properties:
Its crystal system is triclinic. The value obtained for the calculated total energy is -3.815 eV/atom. The total magnetization comes out at 0.00 μB per formula unit. The value obtained for the formation enthalpy at 0 K is 99 meV/atom.

a b c (Å): 4.2834 6.5829 13.2635
angles (deg): 79.14 88.93 72.04
Last column: nearest neighbours and their distance in Å.
Atoms (fractional coordinates):
Sn 0.0000 0.0000 0.0000  4 Sn 3.14-3.42, 2 Bi 3.40
Sn 0.4791 0.1299 0.1653  2 Sn 3.14-3.42, 3 Bi 3.20-3.25
Sn 0.5209 0.8701 0.8347  2 Sn 3.14-3.42, 3 Bi 3.20-3.25
Bi 0.0013 0.2144 0.3519  1 Sn 3.20, 4 Bi 3.30-3.32
Bi 0.0736 0.7037 0.2712  1 Sn 3.25, 6 Bi 3.30-3.64
Bi 0.3266 0.4256 0.9049  4 Sn 3.25-3.59, 3 Bi 3.30-3.46
Bi 0.4686 0.2579 0.5370  6 Bi 3.25-3.40
Bi 0.5314 0.7421 0.4630  6 Bi 3.25-3.40
Bi 0.6734 0.5744 0.0951  4 Sn 3.25-3.59, 3 Bi 3.30-3.46
Bi 0.9264 0.2963 0.7288  1 Sn 3.25, 6 Bi 3.30-3.64
Bi 0.9987 0.7856 0.6481  1 Sn 3.20, 4 Bi 3.30-3.32


Repeat the eleventh record exactly.
An optimized crystal structure of HS3Br. Source: Alexandria, functional PBE.

Computed properties:
Its excess energy over the best structure of this formula in the dataset is 0 meV per atom. Its crystal system is cubic. The value obtained for the calculated total energy is -2.252 eV/atom. The total magnetization comes out at 0.00 μB per formula unit.

a b c (Å): 4.2258 4.2258 4.2258
angles (deg): 90.00 90.00 90.00
Last column: nearest neighbours and their distance in Å.
Atoms (fractional coordinates):
H 0.0000 0.0000 0.0000  6 S 2.11
S 0.0000 0.0000 0.5000  2 H 2.11
S 0.0000 0.5000 0.0000  2 H 2.11
S 0.5000 0.0000 0.0000  2 H 2.11
Br 0.5000 0.5000 0.5000  12 S 2.99


Question: calculated total energy of number 2 (RbCaMgBi2)?
Answer: -2.203 eV/atom


Question: calculated total energy of number 5 (Na2Tl2Hg4Pb)?
Answer: -1.394 eV/atom


Question: Number 1 is which compound?
Answer: K2AcPtO4